Record 1
The following is a DFT calculation (PBE) of a relaxed structure of CeTm4Hg5.

Unit cell a=3.676 b=3.676 c=18.830 alpha=90.00 beta=90.00 gamma=90.00
Last column: magnetic moment on the atom in μB.
Element x y z (fractional)
Ce (0.000, 0.000, 0.000)  1.06
Tm (0.000, 0.000, 0.207)  0.02
Tm (0.000, 0.000, 0.403)  0.00
Tm (0.000, 0.000, 0.597)  0.00
Tm (0.000, 0.000, 0.793)  0.02
Hg (0.500, 0.500, 0.113)  0.01
Hg (0.500, 0.500, 0.305)  0.00
Hg (0.500, 0.500, 0.500)  0.00
Hg (0.500, 0.500, 0.695)  0.00
Hg (0.500, 0.500, 0.887)  0.01

## Properties
E_form, kcal/mol of atoms: -10.23
N(E_F), states/eV/cell: 12.780
Space-group type: P4/mmm, No. 123
Spin magnetization, μB per cell: 1.510

=====

Record 2
The following is a DFT calculation (PBE) of a relaxed structure of CeTmHg4.

Unit cell a=5.983 b=5.983 c=5.983 alpha=60.00 beta=60.00 gamma=60.00
Last column: magnetic moment on the atom in μB.
Element x y z (fractional)
Tm (0.250, 0.250, 0.250)  0.08
Hg (0.625, 0.625, 0.125)  0.00
Hg (0.625, 0.125, 0.625)  0.00
Hg (0.625, 0.625, 0.625)  0.00
Hg (0.125, 0.625, 0.625)  0.00
Ce (0.000, 0.000, 0.000)  0.85

## Properties
E_form, kcal/mol of atoms: -3.69
Relative energy among the computed polymorphs, eV per atom: 0.164
N(E_F), states/eV/cell: 9.225
Space-group type: F-43m, No. 216
Spin magnetization, μB per cell: 1.040

=====

Record 3
The following is a DFT calculation (PBE) of a relaxed structure of CeTmHg3.

Unit cell a=6.452 b=10.447 c=8.044 alpha=110.40 beta=90.00 gamma=90.00
Last column: magnetic moment on the atom in μB.
Element x y z (fractional)
Ce (0.352, 0.536, 0.392)  0.80
Ce (0.648, 0.464, 0.608)  0.80
Ce (0.148, 0.036, 0.892)  0.80
Ce (0.852, 0.964, 0.108)  0.80
Tm (0.845, 0.351, 0.972)  -0.01
Tm (0.345, 0.149, 0.528)  -0.01
Tm (0.155, 0.649, 0.028)  -0.01
Tm (0.655, 0.851, 0.472)  -0.01
Hg (0.124, 0.424, 0.669)  0.00
Hg (0.376, 0.924, 0.169)  0.00
Hg (0.527, 0.229, 0.224)  0.00
Hg (0.027, 0.271, 0.276)  0.00
Hg (0.473, 0.771, 0.776)  0.00
Hg (0.876, 0.576, 0.331)  0.00
Hg (0.855, 0.142, 0.549)  0.00
Hg (0.145, 0.858, 0.451)  0.00
Hg (0.624, 0.076, 0.831)  0.00
Hg (0.973, 0.729, 0.724)  0.00
Hg (0.645, 0.642, 0.049)  0.00
Hg (0.355, 0.358, 0.951)  0.00

## Properties
E_form, kcal/mol of atoms: -7.29
Relative energy among the computed polymorphs, eV per atom: 0.057
N(E_F), states/eV/cell: 30.620
Space-group type: P2_1/c, No. 14
Spin magnetization, μB per cell: 3.534

=====

Record 4
The following is a DFT calculation (PBE) of a relaxed structure of CeTmHg4.

Unit cell a=3.934 b=5.228 c=7.723 alpha=89.98 beta=104.84 gamma=90.00
Last column: magnetic moment on the atom in μB.
Element x y z (fractional)
Ce (0.644, 0.498, 0.038)  0.84
Tm (0.858, 0.997, 0.457)  -0.01
Hg (0.194, 0.997, 0.131)  0.00
Hg (0.521, 0.998, 0.781)  0.00
Hg (0.975, 0.497, 0.699)  0.00
Hg (0.316, 0.497, 0.382)  0.00

## Properties
E_form, kcal/mol of atoms: -7.48
Relative energy among the computed polymorphs, eV per atom: 0.000
N(E_F), states/eV/cell: 8.567
Space-group type: Pm, No. 6
Spin magnetization, μB per cell: 0.917

=====

Record 5
The following is a DFT calculation (PBE) of a relaxed structure of Ce3Tm2Hg6.

Unit cell a=5.739 b=5.739 c=11.920 alpha=103.93 beta=103.93 gamma=90.00
Last column: magnetic moment on the atom in μB.
Element x y z (fractional)
Ce (0.000, 0.000, 0.000)  0.96
Ce (0.857, 0.857, 0.714)  1.20
Ce (0.143, 0.143, 0.286)  1.20
Tm (0.421, 0.421, 0.841)  0.06
Tm (0.579, 0.579, 0.159)  0.06
Hg (0.071, 0.571, 0.142)  0.02
Hg (0.571, 0.071, 0.142)  0.02
Hg (0.929, 0.429, 0.858)  0.02
Hg (0.429, 0.929, 0.858)  0.02
Hg (0.714, 0.714, 0.428)  0.05
Hg (0.286, 0.286, 0.572)  0.05

## Properties
E_form, kcal/mol of atoms: 0.02
N(E_F), states/eV/cell: 27.517
Space-group type: I4/mmm, No. 139
Spin magnetization, μB per cell: 4.838

=====

Record 6
The following is a DFT calculation (PBE) of a relaxed structure of Ce3TmHg4.

Unit cell a=3.650 b=3.650 c=16.207 alpha=90.00 beta=90.00 gamma=90.00
Last column: magnetic moment on the atom in μB.
Element x y z (fractional)
Tm (0.500, 0.500, 0.000)  0.02
Hg (0.000, 0.000, 0.890)  0.01
Hg (0.000, 0.000, 0.110)  0.01
Hg (0.000, 0.000, 0.371)  0.03
Hg (0.000, 0.000, 0.629)  0.03
Ce (0.500, 0.500, 0.242)  1.04
Ce (0.500, 0.500, 0.500)  1.00
Ce (0.500, 0.500, 0.758)  1.04

## Properties
E_form, kcal/mol of atoms: -7.74
N(E_F), states/eV/cell: 24.611
Space-group type: P4/mmm, No. 123
Spin magnetization, μB per cell: 4.255

=====

Record 7
The following is a DFT calculation (PBE) of a relaxed structure of Ce5TmHg6.

Unit cell a=5.265 b=7.870 c=9.205 alpha=64.70 beta=73.25 gamma=90.00
Last column: magnetic moment on the atom in μB.
Element x y z (fractional)
Tm (0.000, 0.000, 0.000)  0.02
Hg (0.840, 0.609, 0.320)  0.02
Hg (0.840, 0.072, 0.320)  0.02
Hg (0.500, 0.782, 0.000)  0.01
Hg (0.500, 0.218, 0.000)  0.01
Hg (0.160, 0.928, 0.680)  0.02
Hg (0.160, 0.391, 0.680)  0.02
Ce (0.684, 0.183, 0.633)  0.93
Ce (0.343, 0.343, 0.314)  1.08
Ce (0.000, 0.500, 0.000)  1.06
Ce (0.657, 0.657, 0.686)  1.08
Ce (0.316, 0.817, 0.367)  0.93

## Properties
E_form, kcal/mol of atoms: -7.42
N(E_F), states/eV/cell: 38.965
Space-group type: C2/m, No. 12
Spin magnetization, μB per cell: 6.813

=====

Record 8
The following is a DFT calculation (PBE) of a relaxed structure of CeTmHg3.

Unit cell a=3.501 b=4.977 c=14.776 alpha=90.00 beta=96.80 gamma=90.00
Last column: magnetic moment on the atom in μB.
Element x y z (fractional)
Ce (0.924, 0.750, 0.848)  1.00
Ce (0.076, 0.250, 0.152)  1.00
Tm (0.212, 0.750, 0.424)  -0.01
Tm (0.788, 0.250, 0.576)  -0.01
Hg (0.624, 0.750, 0.249)  0.01
Hg (0.376, 0.250, 0.751)  0.01
Hg (0.525, 0.750, 0.050)  0.01
Hg (0.475, 0.250, 0.950)  0.01
Hg (0.683, 0.250, 0.367)  0.00
Hg (0.317, 0.750, 0.633)  0.00

## Properties
E_form, kcal/mol of atoms: -8.62
Relative energy among the computed polymorphs, eV per atom: 0.000
N(E_F), states/eV/cell: 15.988
Space-group type: Cmcm, No. 63
Spin magnetization, μB per cell: 2.560

=====

Record 9
The following is a DFT calculation (PBE) of a relaxed structure of Ce2TmHg.

Unit cell a=5.437 b=5.437 c=5.437 alpha=60.00 beta=60.00 gamma=60.00
Last column: magnetic moment on the atom in μB.
Element x y z (fractional)
Tm (0.500, 0.500, 0.500)  0.41
Hg (0.000, 0.000, 0.000)  0.00
Ce (0.250, 0.250, 0.250)  0.93
Ce (0.750, 0.750, 0.750)  0.93

## Properties
E_form, kcal/mol of atoms: 0.71
Relative energy among the computed polymorphs, eV per atom: 0.151
N(E_F), states/eV/cell: 12.365
Space-group type: Fm-3m, No. 225
Spin magnetization, μB per cell: 2.843

=====

Record 10
The following is a DFT calculation (PBE) of a relaxed structure of CeTm2Hg.

Unit cell a=3.550 b=3.550 c=10.719 alpha=80.47 beta=80.47 gamma=60.00
Last column: magnetic moment on the atom in μB.
Element x y z (fractional)
Ce (0.500, 0.500, 0.500)  0.92
Tm (0.075, 0.075, 0.774)  0.20
Tm (0.258, 0.258, 0.226)  0.10
Hg (0.666, 0.666, 0.001)  0.00

## Properties
E_form, kcal/mol of atoms: -2.45
Relative energy among the computed polymorphs, eV per atom: 0.089
N(E_F), states/eV/cell: 7.099
Space-group type: R3m, No. 160
Spin magnetization, μB per cell: 1.588

=====

Record 11
The following is a DFT calculation (PBE) of a relaxed structure of CeTm2Hg.

Unit cell a=4.656 b=4.829 c=4.829 alpha=90.00 beta=90.00 gamma=90.00
Last column: magnetic moment on the atom in μB.
Element x y z (fractional)
Tm (0.000, 0.000, 0.500)  0.26
Tm (0.000, 0.500, 0.000)  0.26
Hg (0.500, 0.000, 0.000)  0.00
Ce (0.500, 0.500, 0.500)  0.88

## Properties
E_form, kcal/mol of atoms: -2.49
Relative energy among the computed polymorphs, eV per atom: 0.087
N(E_F), states/eV/cell: 6.471
Space-group type: P4/mmm, No. 123
Spin magnetization, μB per cell: 1.729

=====

Record 12
The following is a DFT calculation (PBE) of a relaxed structure of Ce2TmHg.

Unit cell a=3.393 b=3.393 c=9.911 alpha=90.00 beta=90.00 gamma=90.00
Last column: magnetic moment on the atom in μB.
Element x y z (fractional)
Tm (0.500, 0.500, 0.500)  0.14
Hg (0.500, 0.500, 0.000)  0.01
Ce (0.000, 0.000, 0.767)  0.76
Ce (0.000, 0.000, 0.233)  0.76

## Properties
E_form, kcal/mol of atoms: -1.26
Relative energy among the computed polymorphs, eV per atom: 0.066
N(E_F), states/eV/cell: 11.694
Space-group type: P4/mmm, No. 123
Spin magnetization, μB per cell: 2.025

=====

Record 13
The following is a DFT calculation (PBE) of a relaxed structure of CeTm3Hg6.

Unit cell a=5.153 b=9.176 c=11.140 alpha=106.71 beta=90.00 gamma=90.00
Last column: magnetic moment on the atom in μB.
Element x y z (fractional)
Ce (0.250, 0.933, 0.616)  0.88
Ce (0.750, 0.067, 0.384)  0.88
Tm (0.250, 0.514, 0.389)  0.01
Tm (0.750, 0.486, 0.611)  0.01
Tm (0.250, 0.352, 0.808)  0.01
Tm (0.750, 0.648, 0.192)  0.01
Tm (0.250, 0.766, 0.996)  0.01
Tm (0.750, 0.234, 0.004)  0.01
Hg (0.250, 0.464, 0.095)  0.00
Hg (0.750, 0.536, 0.905)  0.00
Hg (0.250, 0.146, 0.209)  0.00
Hg (0.750, 0.854, 0.791)  0.00
Hg (0.250, 0.637, 0.709)  0.01
Hg (0.750, 0.363, 0.291)  0.01
Hg (0.250, 0.256, 0.524)  0.01
Hg (0.750, 0.744, 0.476)  0.01
Hg (0.250, 0.823, 0.306)  0.01
Hg (0.750, 0.177, 0.694)  0.01
Hg (0.250, 0.063, 0.912)  0.00
Hg (0.750, 0.937, 0.088)  0.00

## Properties
E_form, kcal/mol of atoms: -8.76
N(E_F), states/eV/cell: 25.221
Space-group type: P2_1/m, No. 11
Spin magnetization, μB per cell: 2.172

=====

Record 14
The following is a DFT calculation (PBE) of a relaxed structure of Ce2TmHg3.

Unit cell a=3.646 b=3.646 c=12.070 alpha=90.00 beta=90.00 gamma=90.00
Last column: magnetic moment on the atom in μB.
Element x y z (fractional)
Ce (0.500, 0.500, 0.826)  1.01
Ce (0.500, 0.500, 0.174)  1.01
Tm (0.500, 0.500, 0.500)  0.02
Hg (0.000, 0.000, 0.000)  0.02
Hg (0.000, 0.000, 0.648)  0.01
Hg (0.000, 0.000, 0.352)  0.01

## Properties
E_form, kcal/mol of atoms: -8.12
N(E_F), states/eV/cell: 16.817
Space-group type: P4/mmm, No. 123
Spin magnetization, μB per cell: 2.774

=====

Record 15
The following is a DFT calculation (PBE) of a relaxed structure of Ce2TmZn2Hg2.

Unit cell a=4.557 b=4.557 c=9.219 alpha=75.69 beta=75.69 gamma=60.00
Last column: magnetic moment on the atom in μB.
Element x y z (fractional)
Ce (0.141, 0.141, 0.576)  0.67
Ce (0.859, 0.859, 0.424)  0.67
Tm (0.000, 0.000, 0.000)  -0.01
Zn (0.593, 0.593, 0.220)  -0.01
Zn (0.407, 0.407, 0.780)  -0.01
Hg (0.731, 0.731, 0.806)  -0.01
Hg (0.269, 0.269, 0.194)  -0.01

## Properties
E_form, kcal/mol of atoms: -5.72
N(E_F), states/eV/cell: 9.500
Space-group type: R-3m, No. 166
Spin magnetization, μB per cell: 1.438

=====

Record 16
The following is a DFT calculation (PBE) of a relaxed structure of Ce2UHg.

Unit cell a=3.178 b=5.520 c=5.520 alpha=90.00 beta=90.00 gamma=90.00
Last column: magnetic moment on the atom in μB.
Element x y z (fractional)
U (0.500, 0.500, 0.500)  0.93
Hg (0.500, 0.000, 0.000)  0.00
Ce (0.000, 0.000, 0.500)  0.07
Ce (0.000, 0.500, 0.000)  0.07

## Properties
E_form, kcal/mol of atoms: -0.11
Relative energy among the computed polymorphs, eV per atom: 0.000
N(E_F), states/eV/cell: 10.567
Space-group type: P4/mmm, No. 123
Spin magnetization, μB per cell: 1.154

=====

Record 17
The following is a DFT calculation (PBE) of a relaxed structure of Ce2UHg.

Unit cell a=3.759 b=3.759 c=9.825 alpha=78.97 beta=78.97 gamma=60.00
Element x y z (fractional)
U (0.500, 0.500, 0.500)
Hg (0.000, 0.000, 0.000)
Ce (0.113, 0.113, 0.660)
Ce (0.887, 0.887, 0.340)

## Properties
E_form, kcal/mol of atoms: 8.18
Relative energy among the computed polymorphs, eV per atom: 0.359
N(E_F), states/eV/cell: 6.156
Space-group type: R-3m, No. 166
Spin magnetization, μB per cell: 0.000

=====

Record 18
The following is a DFT calculation (PBE) of a relaxed structure of Ce2UHg.

Unit cell a=3.068 b=3.068 c=10.181 alpha=90.00 beta=90.00 gamma=90.00
Last column: magnetic moment on the atom in μB.
Element x y z (fractional)
U (0.500, 0.500, 0.000)  1.54
Hg (0.500, 0.500, 0.500)  0.00
Ce (0.000, 0.000, 0.756)  0.08
Ce (0.000, 0.000, 0.244)  0.08

## Properties
E_form, kcal/mol of atoms: 0.11
Relative energy among the computed polymorphs, eV per atom: 0.009
N(E_F), states/eV/cell: 9.375
Space-group type: P4/mmm, No. 123
Spin magnetization, μB per cell: 1.820

=====

Record 19
The following is a DFT calculation (PBE) of a relaxed structure of Ce2VHg.

Unit cell a=3.050 b=3.050 c=11.701 alpha=82.51 beta=82.51 gamma=60.00
Element x y z (fractional)
Hg (0.000, 0.000, 0.000)
Ce (0.095, 0.095, 0.714)
Ce (0.905, 0.905, 0.286)
V (0.500, 0.500, 0.500)

## Properties
E_form, kcal/mol of atoms: 8.34
N(E_F), states/eV/cell: 8.288
Space-group type: R-3m, No. 166
Spin magnetization, μB per cell: 0.001

=====

Record 20
The following is a DFT calculation (PBE) of a relaxed structure of CeYHg.

Unit cell a=5.617 b=3.332 c=9.632 alpha=99.96 beta=106.95 gamma=90.00
Last column: magnetic moment on the atom in μB.
Element x y z (fractional)
Ce (0.264, 0.500, 0.000)  0.62
Ce (0.736, 0.500, 0.000)  0.62
Y (0.331, 0.831, 0.662)  -0.01
Y (0.669, 0.169, 0.338)  -0.01
Hg (0.839, 0.339, 0.679)  0.00
Hg (0.161, 0.661, 0.321)  0.00

## Properties
E_form, kcal/mol of atoms: -1.34
Relative energy among the computed polymorphs, eV per atom: 0.203
N(E_F), states/eV/cell: 11.561
Space-group type: Immm, No. 71
Spin magnetization, μB per cell: 1.513

=====

Number 1: theoretical density 11.9 g cm⁻³. Number 2: theoretical density 12.2 g cm⁻³. Number 3: theoretical density 11.9 g cm⁻³. Number 4: theoretical density 12.0 g cm⁻³. Number 5: theoretical density 8.8 g cm⁻³. Number 6: theoretical density 10.7 g cm⁻³. Number 7: theoretical density 10.5 g cm⁻³. Number 8: theoretical density 11.8 g cm⁻³. Number 9: theoretical density 9.5 g cm⁻³. Number 10: theoretical density 9.8 g cm⁻³. Number 11: theoretical density 10.4 g cm⁻³. Number 12: theoretical density 9.5 g cm⁻³. Number 13: theoretical density 12.2 g cm⁻³. Number 14: theoretical density 10.9 g cm⁻³. Number 15: theoretical density 10.3 g cm⁻³. Number 16: theoretical density 12.3 g cm⁻³. Number 17: theoretical density 10.2 g cm⁻³. Number 18: theoretical density 12.5 g cm⁻³. Number 19: theoretical density 9.5 g cm⁻³. Number 20: theoretical density 8.4 g cm⁻³.